(1)
First-principles (PBE) data for a relaxed structure of Tb5Pm5Sc, as listed in Alexandria.

Cell lengths 6.094, 6.094, 11.605 Å; angles 90.00, 90.00, 120.00 degrees
Positions (direct):
Tb (0.336, 0.168, 0.500)
Tb (0.000, 0.000, 0.265)
Tb (0.832, 0.664, 0.500)
Tb (0.832, 0.168, 0.500)
Tb (0.000, 0.000, 0.735)
Pm (0.667, 0.333, 0.154)
Pm (0.667, 0.333, 0.846)
Pm (0.333, 0.667, 0.309)
Pm (0.333, 0.667, 0.691)
Pm (0.000, 0.000, 0.000)
Sc (0.333, 0.667, 0.000)

Computed properties:
**Symmetry**: No. 187
**VASP energy**: -4.51 eV per atom
**Calculated formation energy**: 0.328 eV/atom

(2)
First-principles (PBE) data for a relaxed structure of Dy2FePt9, as listed in Alexandria.

Cell lengths 4.068, 4.068, 12.103 Å; angles 90.00, 90.00, 90.00 degrees
Each line ends with the local moment (μB).
Positions (direct):
Dy (0.000, 0.000, 0.328)  0.00
Dy (0.000, 0.000, 0.672)  0.00
Fe (0.000, 0.000, 0.000)  3.39
Pt (0.500, 0.500, 0.000)  0.31
Pt (0.500, 0.500, 0.327)  0.06
Pt (0.500, 0.500, 0.673)  0.06
Pt (0.500, 0.000, 0.152)  0.24
Pt (0.500, 0.000, 0.500)  0.03
Pt (0.500, 0.000, 0.848)  0.24
Pt (0.000, 0.500, 0.152)  0.24
Pt (0.000, 0.500, 0.500)  0.03
Pt (0.000, 0.500, 0.848)  0.24

Computed properties:
**Symmetry**: No. 123
**VASP energy**: -6.75 eV per atom
**Calculated formation energy**: -0.746 eV/atom

(3)
First-principles (PBE) data for a relaxed structure of BRh, as listed in Alexandria.

Cell lengths 4.669, 4.669, 4.669 Å; angles 90.00, 90.00, 90.00 degrees
Positions (direct):
B (0.750, 0.750, 0.750)
B (0.750, 0.250, 0.250)
B (0.250, 0.750, 0.250)
B (0.250, 0.250, 0.750)
Rh (0.000, 0.000, 0.000)
Rh (0.000, 0.500, 0.500)
Rh (0.500, 0.000, 0.500)
Rh (0.500, 0.500, 0.000)

Computed properties:
**Symmetry**: No. 216
**VASP energy**: -7.00 eV per atom
**Calculated formation energy**: 0.017 eV/atom

(4)
First-principles (PBE) data for a relaxed structure of AcPr2Ru, as listed in Alexandria.

Cell lengths 3.967, 3.967, 11.181 Å; angles 79.78, 79.78, 60.00 degrees
Positions (direct):
Pr (0.117, 0.117, 0.650)
Pr (0.883, 0.883, 0.350)
Ru (0.500, 0.500, 0.500)
Ac (0.000, 0.000, 0.000)

Computed properties:
**Symmetry**: No. 166
**Energy above the lowest structure with this stoichiometry**: 0.3015 eV/atom
**VASP energy**: -5.60 eV per atom
**Calculated formation energy**: 0.137 eV/atom

(5)
First-principles (PBE) data for a relaxed structure of NdSn3Pd3, as listed in Alexandria.

Cell lengths 8.440, 8.440, 7.276 Å; angles 54.55, 54.55, 60.00 degrees
Positions (direct):
Nd (0.331, 0.331, 0.008)
Nd (0.669, 0.669, 0.992)
Sn (0.416, 0.802, 0.664)
Sn (0.802, 0.118, 0.664)
Sn (0.118, 0.416, 0.664)
Sn (0.882, 0.584, 0.336)
Sn (0.198, 0.882, 0.336)
Sn (0.584, 0.198, 0.336)
Pd (0.275, 0.610, 0.174)
Pd (0.942, 0.275, 0.174)
Pd (0.610, 0.942, 0.174)
Pd (0.390, 0.058, 0.826)
Pd (0.058, 0.725, 0.826)
Pd (0.725, 0.390, 0.826)

Computed properties:
**Symmetry**: No. 148
**Energy above the lowest structure with this stoichiometry**: 0.0000 eV/atom
**VASP energy**: -5.16 eV per atom
**Calculated formation energy**: -0.533 eV/atom

(6)
First-principles (PBE) data for a relaxed structure of Li3BeOs, as listed in Alexandria.

Cell lengths 4.001, 4.001, 4.001 Å; angles 90.00, 90.00, 90.00 degrees
Each line ends with the local moment (μB).
Positions (direct):
Be (0.000, 0.000, 0.000)  -0.02
Os (0.500, 0.500, 0.500)  0.87
Li (0.000, 0.500, 0.000)  -0.01
Li (0.000, 0.000, 0.500)  -0.01
Li (0.500, 0.000, 0.000)  -0.01

Computed properties:
**Symmetry**: No. 221
**Energy above the lowest structure with this stoichiometry**: 0.0000 eV/atom
**VASP energy**: -2.99 eV per atom
**Calculated formation energy**: 1.148 eV/atom

(7)
First-principles (PBE) data for a relaxed structure of SrAc2Mg, as listed in Alexandria.

Cell lengths 4.154, 4.154, 9.811 Å; angles 90.00, 90.00, 90.00 degrees
Positions (direct):
Sr (0.500, 0.500, 0.500)
Ac (0.000, 0.000, 0.800)
Ac (0.000, 0.000, 0.200)
Mg (0.500, 0.500, 0.000)

Computed properties:
**Symmetry**: No. 123
**Energy above the lowest structure with this stoichiometry**: 0.0000 eV/atom
**VASP energy**: -2.87 eV per atom
**Calculated formation energy**: 0.005 eV/atom

(8)
First-principles (PBE) data for a relaxed structure of MnHgRuS, as listed in Alexandria.

Cell lengths 3.217, 3.143, 13.445 Å; angles 90.00, 103.79, 90.00 degrees
Each line ends with the local moment (μB).
Positions (direct):
Ru (0.597, 0.000, 0.510)  0.08
Ru (0.597, 0.500, 0.010)  0.08
S (0.220, 0.000, 0.633)  -0.04
S (0.220, 0.500, 0.133)  -0.04
Mn (0.770, 0.000, 0.184)  2.89
Mn (0.770, 0.500, 0.684)  2.89
Hg (0.953, 0.000, 0.867)  -0.01
Hg (0.953, 0.500, 0.367)  -0.01

Computed properties:
**Raw formation energy**: 0.395 eV per formula unit
**Symmetry**: No. 44
**Energy above the lowest structure with this stoichiometry**: 0.0156 eV/atom
**VASP energy**: -5.62 eV per atom

(9)
First-principles (PBE) data for a relaxed structure of GeSe2BrO, as listed in Alexandria.

Cell lengths 4.173, 4.173, 6.040 Å; angles 90.00, 90.00, 90.00 degrees
Positions (direct):
O (0.000, 0.000, 0.000)
Ge (0.500, 0.500, 0.500)
Se (0.000, 0.500, 0.000)
Se (0.500, 0.000, 0.000)
Br (0.000, 0.000, 0.500)

Computed properties:
**Raw formation energy**: 1.273 eV per formula unit
**Symmetry**: No. 123
**Energy above the lowest structure with this stoichiometry**: 0.0000 eV/atom
**VASP energy**: -3.39 eV per atom

(10)
First-principles (PBE) data for a relaxed structure of Bi2Sb2Pd7, as listed in Alexandria.

Cell lengths 5.360, 6.655, 6.655 Å; angles 99.08, 74.05, 74.05 degrees
Positions (direct):
Bi (0.362, 0.361, 0.361)
Bi (0.638, 0.639, 0.639)
Sb (0.000, 0.181, 0.819)
Sb (0.000, 0.819, 0.181)
Pd (0.694, 0.066, 0.582)
Pd (0.306, 0.418, 0.934)
Pd (0.306, 0.934, 0.418)
Pd (0.694, 0.582, 0.066)
Pd (0.500, 0.000, 0.000)
Pd (0.063, 0.755, 0.755)
Pd (0.937, 0.245, 0.245)

Computed properties:
**Raw formation energy**: -3.392 eV per formula unit
**Symmetry**: No. 12
**VASP energy**: -5.07 eV per atom

(11)
First-principles (PBE) data for a relaxed structure of KSrAl2Br8, as listed in Alexandria.

Cell lengths 7.151, 7.151, 10.887 Å; angles 70.83, 70.83, 60.00 degrees
Each line ends with the local moment (μB).
Positions (direct):
K (0.500, 0.500, 0.500)  0.00
Sr (0.000, 0.000, 0.000)  0.02
Al (0.248, 0.248, 0.255)  0.05
Al (0.752, 0.752, 0.745)  0.05
Br (0.170, 0.170, 0.489)  0.01
Br (0.587, 0.294, 0.183)  0.02
Br (0.830, 0.830, 0.511)  0.01
Br (0.936, 0.587, 0.183)  0.02
Br (0.064, 0.413, 0.817)  0.02
Br (0.294, 0.936, 0.183)  0.02
Br (0.706, 0.064, 0.817)  0.02
Br (0.413, 0.706, 0.817)  0.02

Computed properties:
**Raw formation energy**: -15.419 eV per formula unit
**Symmetry**: No. 148
**VASP energy**: -3.26 eV per atom

(12)
First-principles (PBE) data for a relaxed structure of In2IrRu, as listed in Alexandria.

Cell lengths 6.041, 6.041, 6.041 Å; angles 151.54, 135.70, 53.50 degrees
Positions (direct):
In (0.030, 0.030, 0.000)
In (0.734, 0.234, 0.500)
Ir (0.468, 0.468, 0.000)
Ru (0.268, 0.768, 0.500)

Computed properties:
**Symmetry**: No. 44
**VASP energy**: -5.76 eV per atom
**Calculated formation energy**: 0.140 eV/atom